# 1
Computed, not measured: crystalline AlAg at its relaxed geometry at the PBE level of DFT.

a = 2.9787 Å, b = 9.6625 Å, c = 4.7794 Å
α = 98.43°, β = 90.00°, γ = 90.00°
With the nearest neighbours (Å) after each atom.
Fractional coordinates of all 8 atoms:
1 Ag 0.0000 0.9966 0.9749  7 Al 2.79-2.88, 5 Ag 2.89-3.00
2 Ag 0.5000 0.2500 0.2500  6 Al 2.78-2.82, 6 Ag 2.98-3.00
3 Ag 0.0000 0.5034 0.5251  7 Al 2.79-2.88, 5 Ag 2.89-3.00
4 Ag 0.0000 0.7500 0.2500  8 Al 2.82-2.94, 4 Ag 2.89-2.98
5 Al 0.5000 0.7500 0.7500  8 Ag 2.82-2.88, 4 Al 2.91-2.98
6 Al 0.5000 0.0025 0.4841  7 Ag 2.78-2.94, 5 Al 2.91-2.98
7 Al 0.0000 0.2500 0.7500  6 Ag 2.81-2.82, 6 Al 2.94-2.98
8 Al 0.5000 0.4975 0.0159  7 Ag 2.78-2.94, 5 Al 2.91-2.98

E_form	-0.018	eV per atom
M_tot	0.0	μB/f.u.
E	-3.31	eV/atom

***

# 2
Computed, not measured: crystalline AlAg at its relaxed geometry at the PBE level of DFT.

a = 5.4952 Å, b = 5.4952 Å, c = 4.3268 Å
α = 90.00°, β = 90.00°, γ = 148.07°
With the nearest neighbours (Å) after each atom.
Fractional coordinates of all 4 atoms:
1 Al 0.8382 0.1618 0.7500  5 Ag 2.67-2.76
2 Al 0.1618 0.8382 0.2500  5 Ag 2.67-2.76
3 Ag 0.5855 0.4145 0.7500  5 Al 2.67-2.76, 2 Ag 2.82
4 Ag 0.4145 0.5855 0.2500  5 Al 2.67-2.76, 2 Ag 2.82

E_form	0.019	eV per atom
M_tot	0.0	μB/f.u.
E	-3.28	eV/atom

***

# 3
Computed, not measured: crystalline Al3Ag5 at its relaxed geometry at the PBE level of DFT.

a = 4.9560 Å, b = 6.0003 Å, c = 4.8056 Å
α = 90.00°, β = 106.62°, γ = 90.00°
With the nearest neighbours (Å) after each atom.
Fractional coordinates of all 8 atoms:
1 Ag 0.0000 0.0000 0.0000  4 Al 2.83, 8 Ag 2.92-3.00
2 Ag 0.5000 0.2579 0.0000  4 Al 2.81-2.92, 8 Ag 2.86-3.10
3 Ag 0.0000 0.5000 0.0000  6 Al 2.84-2.92, 6 Ag 2.87-3.00
4 Ag 0.5000 0.7421 0.0000  4 Al 2.81-2.92, 8 Ag 2.86-3.10
5 Ag 0.5000 0.0000 0.5000  6 Ag 2.86-2.92, 6 Al 2.89-3.00
6 Al 0.0000 0.2483 0.5000  8 Ag 2.83-2.92, 4 Al 2.90-3.02
7 Al 0.5000 0.5000 0.5000  8 Ag 2.81-3.00, 4 Al 2.90
8 Al 0.0000 0.7517 0.5000  8 Ag 2.83-2.92, 4 Al 2.90-3.02

E_form	-0.030	eV per atom
M_tot	0.0	μB/f.u.
energy above the lowest structure with this stoichiometry	0.020	eV/atom
E	-3.22	eV/atom